1.
The following is a GGA-PBE calculation of a geometry-optimized LaCo5H4 structure, from the Open Quantum Materials Database.

The structure belongs to space group Cmm2 (No. 35); the cell edges are 5.3479, 8.8170 and 4.0661 Å and the angles 90.00°, 90.00° and 90.00°. The asymmetric unit holds La at (0.0000, 0.0000, 0.0000), Co at (0.0000, 0.3641, 0.0220), Co at (0.0000, 0.5000, 0.5171), Co at (0.2500, 0.2500, 0.5123), H at (0.0000, 0.1452, 0.4962) and H at (0.2500, 0.2500, 0.9384).


2.
The following is a GGA-PBE calculation of a geometry-optimized Li2CoH4 structure, from the Open Quantum Materials Database.

The structure belongs to space group I4/mmm (No. 139); the cell edges are 3.1829, 3.1829 and 9.5059 Å and the angles 90.00°, 90.00° and 90.00°. The asymmetric unit holds Li at (0.0000, 0.0000, 0.1411), Co at (0.0000, 0.0000, 0.5000), H at (0.0000, 0.0000, 0.3357) and H at (0.0000, 0.5000, 0.0000).


3.
The following is a GGA-PBE calculation of a geometry-optimized Li2CoNiH6 structure, from the Open Quantum Materials Database.

The structure belongs to space group Fm-3m (No. 225); the cell edges are 6.3744, 6.3744 and 6.3744 Å and the angles 90.00°, 90.00° and 90.00°. The asymmetric unit holds Li at (0.2500, 0.2500, 0.2500), Co at (0.0000, 0.0000, 0.0000), Ni at (0.0000, 0.0000, 0.5000) and H at (0.0000, 0.0000, 0.2477).


| no. | electronic total energy (eV/atom) | total magnetization (μB/atom) |
| --- | --- | --- |
| 1 | -5.4992 | 0.572 |
| 2 | -3.7931 | 0.000 |
| 3 | -3.8975 | 0.000 |